1.
# MgCoPb4

A geometry-optimized MgCoPb4 structure (PBE, the Alexandria database).

Cell and atoms, written as POSCAR:
```
MgCoPb4
1.0
0.0000 4.4965 4.4965
4.4965 0.0000 4.4965
4.4965 4.4965 0.0000
Pb Co Mg
4 1 1
direct
0.3753 0.3753 0.8740
0.8740 0.3753 0.3753
0.3753 0.8740 0.3753
0.3753 0.3753 0.3753
0.7500 0.7500 0.7500
0.0000 0.0000 0.0000
```

Results
Fermi-level density of states ... 6.240 states/eV/cell
Total moment ... 0.3328 μB per atom
Energy of formation ... 0.6846 eV/atom
Crystal system ... cubic
Space-group type ... F-43m

***

2.
# Pm2Pr5Tm4

A geometry-optimized Pm2Pr5Tm4 structure (PBE, the Alexandria database).

Cell and atoms, written as POSCAR:
```
Pm2Pr5Tm4
1.0
3.5514 0.0000 0.0000
0.0000 9.2018 0.0000
-1.7757 -4.6009 11.8126
Tm Pr Pm
4 5 2
direct
0.5958 0.5958 0.1917
0.4042 0.4042 0.8083
0.0000 0.3175 0.0000
0.0000 0.6825 0.0000
0.1437 0.9432 0.2875
0.8563 0.0568 0.7125
0.1437 0.3442 0.2875
0.8563 0.6558 0.7125
0.5000 0.0000 0.0000
0.2686 0.2686 0.5372
0.7314 0.7314 0.4628
```

Results
Fermi-level density of states ... 16.268 states/eV/cell
Total moment ... 0.0000 μB per atom
Energy of formation ... 0.1660 eV/atom
Crystal system ... orthorhombic
Space-group type ... Immm

***

3.
# Sr5Ag2Hg

A geometry-optimized Sr5Ag2Hg structure (PBE, the Alexandria database).

Cell and atoms, written as POSCAR:
```
Sr5Ag2Hg
1.0
2.5972 -6.2655 -5.2088
0.3315 -5.3813 6.6382
-9.0879 3.7465 -2.0176
Sr Ag Hg
10 4 2
direct
0.9747 0.4747 0.2870
0.0253 0.5253 0.7130
0.5000 0.5000 0.0000
0.4747 0.3124 0.2870
0.1876 0.0253 0.7130
0.8124 0.9747 0.2870
0.6876 0.1876 0.7130
0.3124 0.8124 0.2870
0.5253 0.6876 0.7130
0.0000 0.0000 0.0000
0.6215 0.1215 0.0000
0.3785 0.8785 0.0000
0.8785 0.6215 0.0000
0.1215 0.3785 0.0000
0.2500 0.2500 0.5000
0.7500 0.7500 0.5000
```

Results
Fermi-level density of states ... 9.076 states/eV/cell
Total moment ... 0.0000 μB per atom
Energy of formation ... -0.3223 eV/atom
Crystal system ... tetragonal
Space-group type ... I4/mcm

***

4.
# Ba2DyNi9

A geometry-optimized Ba2DyNi9 structure (PBE, the Alexandria database).

Cell and atoms, written as POSCAR:
```
Ba2DyNi9
1.0
5.0777 0.0000 0.0000
2.5389 4.3975 0.0000
2.5389 1.4658 8.7089
Ba Ni Dy
2 9 1
direct
0.1381 0.1381 0.5858
0.8619 0.8619 0.4142
0.6677 0.6677 0.9970
0.5717 0.5717 0.7795
0.0772 0.5717 0.7795
0.4283 0.4283 0.2205
0.4283 0.9228 0.2205
0.3323 0.3323 0.0030
0.9228 0.4283 0.2205
0.5717 0.0772 0.7795
0.5000 0.5000 0.5000
0.0000 0.0000 0.0000
```

Results
Fermi-level density of states ... 10.970 states/eV/cell
Total moment ... 0.1899 μB per atom
Energy of formation ... -0.0400 eV/atom
Crystal system ... trigonal
Space-group type ... R-3m